(1)
Sm2IrO: relaxed, GGA-PBE.

Cell lengths 3.748, 3.748, 6.982 Å; angles 74.43, 74.43, 60.00 degrees
Fractional coordinates of all 4 atoms:
Ir (0.500, 0.500, 0.500)
O (0.000, 0.000, 0.000)
Sm (0.741, 0.741, 0.776)
Sm (0.259, 0.259, 0.224)

Summary:
- spin magnetization (μB per cell) = 0.00
- total energy (eV/atom) = -7.34



(2)
Fe3AgPd: relaxed, GGA-PBE.

Cell lengths 4.643, 4.643, 4.643 Å; angles 90.00, 90.00, 90.00 degrees
Fractional coordinates of all 5 atoms:
Pd (0.000, 0.000, 0.000)
Ag (0.500, 0.500, 0.500)
Fe (0.000, 0.500, 0.000)
Fe (0.000, 0.000, 0.500)
Fe (0.500, 0.000, 0.000)

Summary:
- polymorph energy (0 for the lowest one) (eV per atom) = 0.000
- spin magnetization (μB per cell) = 9.88